5
Lattice="4.294 0.000 0.000 0.000 4.366 0.000 0.000 0.000 4.294" Properties=species:S:1:pos:R:3 comment="ZrBe2FeBr GGA-PBE optimized geometry" space_group="P4/mmm (123)" formation_energy_uncorrected_ev_per_atom=1.191 magnetic_moment_mub_per_cell=1.6 dos_ef_per_ev_atom=0.786 pbc="T T T"
Be 0.000 0.000 2.147
Be 2.147 0.000 0.000
Br 0.000 0.000 0.000
Zr 2.147 2.183 2.147
Fe 0.000 2.183 0.000